(1)
Density functional theory data (SCAN) for a crystal of Fe2PtSe relaxed with PBEsol.

Cell: 2.860 4.200 4.593 Å, 90.00 94.89 90.00°
Space group Pm (No. 6)
Symmetry-distinct sites (fractional):
Fe  0.000  0.000  0.000 [1 per cell]
Fe  0.014  0.500  0.307 [1 per cell]
Pt  0.553  0.000  0.487 [1 per cell]
Se  0.438  0.500  0.870 [1 per cell]

Raw formation energy ... 33 meV/atom


(2)
Density functional theory data (SCAN) for a crystal of Y2MgZn relaxed with PBEsol.

Cell: 5.090 5.090 3.694 Å, 90.00 90.00 90.00°
Space group P4/mmm (No. 123)
Symmetry-distinct sites (fractional):
Y  0.000  0.500  0.000 [2 per cell]
Mg  0.000  0.000  0.500 [1 per cell]
Zn  0.500  0.500  0.500 [1 per cell]

Raw total energy ... -18.789 eV/atom


(3)
Density functional theory data (SCAN) for a crystal of Al2Ni relaxed with PBEsol.

Cell: 10.883 10.883 10.883 Å, 90.00 90.00 90.00°
Space group Fd-3m (No. 227, origin choice 2)
Symmetry-distinct sites (fractional):
Al  0.000  0.000  0.000 [16 per cell]
Al  0.075  0.375  0.875 [48 per cell]
Ni  0.029  0.029  0.221 [32 per cell]

Raw total energy ... -11.092 eV/atom


(4)
Density functional theory data (SCAN) for a crystal of MgSc2P relaxed with PBEsol.

Cell: 6.643 6.643 6.643 Å, 90.00 90.00 90.00°
Space group Fm-3m (No. 225)
Symmetry-distinct sites (fractional):
Mg  0.000  0.000  0.000 [4 per cell]
Sc  0.250  0.250  0.250 [8 per cell]
P  0.000  0.000  0.500 [4 per cell]

Raw total energy ... -11.289 eV/atom


no.,volume (Å³ per atom),size of the total moment (μB/cell)
1,13.74,6.16
2,23.92,0.37
3,13.43,0.00
4,18.32,0.00